No. 1
Ta2InMoO (meta-GGA SCAN, PBEsol geometry); mass density = 13.04 g/cm³; E_form (uncorrected) = -2.1 eV/f.u.
1.0
4.2304 0.0000 0.0000
0.0000 4.2304 0.0000
0.0000 0.0000 4.1890
Mo O In Ta
1 1 1 2
Direct
0.0000 0.0000 0.5000
0.0000 0.0000 0.0000
0.5000 0.5000 0.5000
0.0000 0.5000 0.0000
0.5000 0.0000 0.0000


No. 2
In2MoOs (meta-GGA SCAN, PBEsol geometry); mass density = 12.35 g/cm³; offset from the most stable computed form = 36 meV/atom
1.0
-0.3630 -2.7698 0.9354
4.4389 -0.7734 -0.5673
0.9573 2.0484 4.6974
Os Mo In
1 1 2
Direct
0.0000 0.5000 0.5000
0.5000 0.5000 0.0000
0.7855 0.0000 0.7465
0.2145 0.0000 0.2535


No. 3
In2MoOs (meta-GGA SCAN, PBEsol geometry); mass density = 12.43 g/cm³; offset from the most stable computed form = 0 meV/atom
1.0
-2.6934 0.0067 1.2317
-2.1424 -1.7145 -1.1146
0.8998 -7.3023 5.5684
In Os Mo
2 1 1
Direct
0.7478 0.7478 0.7567
0.2522 0.2522 0.2433
0.0000 0.0000 0.0000
0.5000 0.5000 0.5000


The evaluated total magnetic moment for the records listed, in turn: 0.00 0.00 0.00 μB per atom.